# 1
First-principles (GGA-PBE) data for an optimized crystal structure of LiPrSiPt, as listed in Alexandria.

Results
Volume (Å³/atom): 18.45
Density (g/cm3): 8.3
Symmetry: F-43m
Energy relative to the elements, uncorrected (meV per atom): -675

Lattice parameters (Å, degrees): 4.708 4.708 4.708 60.00 60.00 60.00
Positions (direct):
1 Si 0.500 0.500 0.500
2 Li 0.750 0.750 0.750
3 Pt 0.250 0.250 0.250
4 Pr 0.000 0.000 0.000

=====

# 2
First-principles (GGA-PBE) data for an optimized crystal structure of TaTi2Nb5, as listed in Alexandria.

Results
Volume (Å³/atom): 17.91
Energy relative to the elements (meV per atom): 18.9
Density (g/cm3): 8.6
Symmetry: I4/mmm

Lattice parameters (Å, degrees): 5.710 5.710 5.710 109.38 109.38 109.66
Positions (direct):
1 Nb 0.778 0.278 0.000
2 Nb 0.278 0.778 0.000
3 Ta 0.778 0.778 0.000
4 Nb 0.278 0.278 0.500
5 Ti 0.278 0.778 0.500
6 Nb 0.278 0.278 0.000
7 Ti 0.778 0.278 0.500
8 Nb 0.778 0.778 0.500

=====

# 3
First-principles (GGA-PBE) data for an optimized crystal structure of Th4As6Ru7, as listed in Alexandria.

Results
Volume (Å³/atom): 18.35
Energy relative to the elements (meV per atom): -823.3
Density (g/cm3): 11.1
Symmetry: Im-3m

Lattice parameters (Å, degrees): 7.400 7.400 7.400 109.47 109.47 109.47
Positions (direct):
1 Ru 0.250 0.750 0.500
2 As 0.320 0.320 0.000
3 As 0.680 0.680 0.000
4 Ru 0.750 0.500 0.250
5 Th 0.500 0.500 0.500
6 Ru 0.250 0.500 0.750
7 Ru 0.000 0.000 0.000
8 Ru 0.750 0.250 0.500
9 As 0.320 0.000 0.320
10 Th 0.500 0.000 0.000
11 Ru 0.500 0.250 0.750
12 As 0.000 0.680 0.680
13 Th 0.000 0.000 0.500
14 Th 0.000 0.500 0.000
15 As 0.000 0.320 0.320
16 As 0.680 0.000 0.680
17 Ru 0.500 0.750 0.250

=====

# 4
First-principles (GGA-PBE) data for an optimized crystal structure of Ca3ZnRe, as listed in Alexandria.

Results
Volume (Å³/atom): 32.66
Energy relative to the elements (meV per atom): 1072.0
Density (g/cm3): 3.8
Symmetry: Pm-3m
Polymorph energy (0 for the lowest one) (eV per atom): 0.330

Lattice parameters (Å, degrees): 5.466 5.466 5.466 90.00 90.00 90.00
Site moments in Bohr magnetons follow the coordinates.
Positions (direct):
1 Ca 0.000 0.000 0.500  -0.03
2 Zn 0.000 0.000 0.000  -0.04
3 Ca 0.000 0.500 0.000  -0.04
4 Re 0.500 0.500 0.500  2.93
5 Ca 0.500 0.000 0.000  -0.05

=====

# 5
First-principles (GGA-PBE) data for an optimized crystal structure of TbCe2PdSe5, as listed in Alexandria.

Results
Volume (Å³/atom): 24.08
Density (g/cm3): 7.2
Symmetry: Cmc2_1
Energy relative to the elements, uncorrected (meV per atom): -1577

Lattice parameters (Å, degrees): 4.021 8.888 12.452 90.00 90.00 103.07
Site moments in Bohr magnetons follow the coordinates.
Positions (direct):
1 Pd 0.444 0.887 0.421  -0.05
2 Se 0.693 0.386 0.190  -0.02
3 Ce 0.894 0.788 0.851  0.69
4 Se 0.307 0.614 0.690  -0.02
5 Ce 0.123 0.245 0.698  0.66
6 Pd 0.556 0.113 0.921  -0.05
7 Se 0.502 0.004 0.239  -0.04
8 Tb 0.826 0.652 0.524  -0.01
9 Tb 0.174 0.348 0.024  -0.01
10 Ce 0.106 0.212 0.351  0.69
11 Se 0.659 0.318 0.521  -0.02
12 Se 0.498 0.996 0.739  -0.04
13 Se 0.991 0.981 0.525  -0.03
14 Se 0.009 0.019 0.025  -0.03
15 Se 0.341 0.682 0.021  -0.02
16 Ce 0.877 0.755 0.198  0.66
17 Se 0.696 0.392 0.855  -0.02
18 Se 0.304 0.608 0.355  -0.02

=====

# 6
First-principles (GGA-PBE) data for an optimized crystal structure of Li3SiGe, as listed in Alexandria.

Results
Volume (Å³/atom): 20.45
Density (g/cm3): 2.0
Symmetry: Pm-3m
Polymorph energy (0 for the lowest one) (eV per atom): 0.593
Energy relative to the elements, uncorrected (meV per atom): 393

Lattice parameters (Å, degrees): 4.676 4.676 4.676 90.00 90.00 90.00
Positions (direct):
1 Li 0.000 0.500 0.000
2 Ge 0.000 0.000 0.000
3 Li 0.500 0.000 0.000
4 Si 0.500 0.500 0.500
5 Li 0.000 0.000 0.500

=====

| no. | calculated total energy (Ry/atom) |
| --- | --- |
| 1 | -0.3833 |
| 2 | -0.7151 |
| 3 | -0.5902 |
| 4 | -0.2112 |
| 5 | -0.4353 |
| 6 | -0.2031 |